Entry 1:
Material: Na5CoO4
Method: DFT, GGA+U
State: optimized geometry

The calculation puts the offset from the most stable computed form at 0 meV per atom.

The structure belongs to space group Pbca (No. 61); the cell edges are 6.0050, 18.0001 and 10.4564 Å and the angles 90.00°, 90.00° and 90.00°. The distinct sites, in fractional coordinates, are Na at (0.0774, 0.0651, 0.0613), Na at (0.0799, 0.1414, 0.8009), Na at (0.0845, 0.5022, 0.8394), Na at (0.0990, 0.7468, 0.4253), Na at (0.1019, 0.6717, 0.1747), Co at (0.1729, 0.1227, 0.5407), O at (0.1390, 0.6212, 0.9573), O at (0.1901, 0.5470, 0.6338), O at (0.2364, 0.7111, 0.6288) and O at (0.2417, 0.6244, 0.3646).

Entry 2:
Material: NaCoO2
Method: DFT, GGA+U
State: optimized geometry

The structure belongs to space group Fm-3m (No. 225); the cell edges are 5.3690, 5.3690 and 5.3690 Å and the angles 90.00°, 90.00° and 90.00°. The distinct sites, in fractional coordinates, are Na at (0.0000, 0.0000, 0.0000), Co at (0.0000, 0.0000, 0.5000) and O at (0.2500, 0.2500, 0.2500).

Entry 3:
Material: Na12CoO7
Method: DFT, GGA+U
State: optimized geometry

The structure belongs to space group R-3 (No. 148, hexagonal axes); the cell edges are 11.7738, 11.7738 and 8.6768 Å and the angles 90.00°, 90.00° and 120.00°. The distinct sites, in fractional coordinates, are Na at (0.0309, 0.5817, 0.1399), Na at (0.0316, 0.1486, 0.8126), Co at (0.0000, 0.0000, 0.5000), O at (0.0000, 0.0000, 0.0000) and O at (0.0284, 0.1733, 0.3518).

Entry 4:
Material: NaCoO2
Method: DFT, GGA+U
State: optimized geometry

The structure belongs to space group I-42d (No. 122); the cell edges are 5.5023, 5.5023 and 6.3676 Å and the angles 90.00°, 90.00° and 90.00°. The distinct sites, in fractional coordinates, are Na at (0.0000, 0.0000, 0.0000), Co at (0.0000, 0.0000, 0.5000) and O at (0.1755, 0.2500, 0.6250).

Entry 5:
Material: NaCo3O
Method: DFT, GGA+U
State: optimized geometry

The calculation puts the offset from the most stable computed form at 0 meV per atom.

The structure belongs to space group Pm-3m (No. 221); the cell edges are 3.9048, 3.9048 and 3.9048 Å and the angles 90.00°, 90.00° and 90.00°. The distinct sites, in fractional coordinates, are Na at (0.0000, 0.0000, 0.0000), Co at (0.0000, 0.5000, 0.5000) and O at (0.5000, 0.5000, 0.5000).

Entry 6:
Material: NaCoO2
Method: DFT, GGA+U
State: optimized geometry

The structure belongs to space group R-3m (No. 166, hexagonal axes); the cell edges are 2.9186, 2.9186 and 15.7198 Å and the angles 90.00°, 90.00° and 120.00°. The distinct sites, in fractional coordinates, are Na at (0.0000, 0.0000, 0.0000), Co at (0.0000, 0.0000, 0.5000) and O at (0.0000, 0.0000, 0.2300).

Entry 7:
Material: NaCoO2
Method: DFT, GGA+U
State: optimized geometry

The structure belongs to space group R3m (No. 160, hexagonal axes); the cell edges are 3.0215, 3.0215 and 16.4254 Å and the angles 90.00°, 90.00° and 120.00°. The distinct sites, in fractional coordinates, are Na at (0.0000, 0.0000, 0.0000), Co at (0.0000, 0.0000, 0.8301), O at (0.0000, 0.0000, 0.2290) and O at (0.0000, 0.0000, 0.4313).

Entry 8:
Material: Na3CoO3
Method: DFT, GGA+U
State: optimized geometry

The calculation puts the offset from the most stable computed form at 19 meV per atom.

The structure belongs to space group Cmcm (No. 63); the cell edges are 8.4043, 10.2901 and 4.7652 Å and the angles 90.00°, 90.00° and 90.00°. The distinct sites, in fractional coordinates, are Na at (0.0000, 0.0991, 0.2500), Na at (0.2251, 0.3915, 0.2500), Co at (0.0000, 0.3024, 0.7500), O at (0.0000, 0.1281, 0.7500) and O at (0.1896, 0.3768, 0.7500).

Number 1: volume 1130.2 Å³ per cell, DFT total energy -4.44 eV per atom. Number 2: volume 154.8 Å³ per cell, DFT total energy -4.71 eV per atom. Number 3: volume 1041.6 Å³ per cell, DFT total energy -3.78 eV per atom. Number 4: volume 192.8 Å³ per cell, DFT total energy -5.22 eV per atom. Number 5: volume 59.5 Å³ per cell, DFT total energy -3.77 eV per atom. Number 6: volume 116.0 Å³ per cell, DFT total energy -5.35 eV per atom. Number 7: volume 129.9 Å³ per cell, DFT total energy -5.24 eV per atom. Number 8: volume 412.1 Å³ per cell, DFT total energy -4.72 eV per atom.